No. 1
The following is a GGA-PBE calculation of crystalline BaMn2PtCl at its relaxed geometry, from the Alexandria database.

Structure (CIF):
```
data_BaMn2PtCl
_space_group_name_H-M_alt 'P 4/m m m'
_space_group_IT_number 123
_space_group_name_Hall '-P 4 2'
_cell_length_a 6.660
_cell_length_b 6.660
_cell_length_c 5.411
_cell_angle_alpha 90.00
_cell_angle_beta 90.00
_cell_angle_gamma 90.00
loop_
_atom_site_label
_atom_site_type_symbol
_atom_site_fract_x
_atom_site_fract_y
_atom_site_fract_z
_atom_site_occupancy
Ba1 Ba 0.000 0.000 0.000 1
Mn1 Mn 0.000 0.500 0.000 1
Pt1 Pt 0.000 0.000 0.500 1
Cl1 Cl 0.500 0.500 0.500 1
```

Output
E_form (uncorrected) (eV per atom): 1.452

=====

No. 2
The following is a GGA-PBE calculation of crystalline RbBaMnCl5 at its relaxed geometry, from the Alexandria database.

Structure (CIF):
```
data_RbBaMnCl5
_space_group_name_H-M_alt 'C 1 2/c 1'
_space_group_IT_number 15
_cell_length_a 9.467
_cell_length_b 12.877
_cell_length_c 10.738
_cell_angle_alpha 90.00
_cell_angle_beta 111.50
_cell_angle_gamma 90.00
loop_
_space_group_symop_operation_xyz
'x,y,z'
'-x,-y,-z'
'-x,y,-z+1/2'
'x,-y,z+1/2'
'x+1/2,y+1/2,z'
'-x+1/2,-y+1/2,-z'
'-x+1/2,y+1/2,-z+1/2'
'x+1/2,-y+1/2,z+1/2'
loop_
_atom_site_label
_atom_site_type_symbol
_atom_site_fract_x
_atom_site_fract_y
_atom_site_fract_z
_atom_site_occupancy
Rb1 Rb 0.000 0.149 0.250 1
Ba1 Ba 0.000 0.500 0.000 1
Mn1 Mn 0.000 0.182 0.750 1
Cl1 Cl 0.000 0.397 0.250 1
Cl2 Cl 0.125 0.290 0.644 1
Cl3 Cl 0.158 0.069 0.918 1
```

Output
E_form (uncorrected) (eV per atom): -1.837

=====

No. 3
The following is a GGA-PBE calculation of crystalline RbBa2MnCl8 at its relaxed geometry, from the Alexandria database.

Structure (CIF):
```
data_RbBa2MnCl8
_space_group_name_H-M_alt 'P -1'
_space_group_IT_number 2
_cell_length_a 6.461
_cell_length_b 7.128
_cell_length_c 8.870
_cell_angle_alpha 108.03
_cell_angle_beta 92.40
_cell_angle_gamma 98.09
loop_
_space_group_symop_operation_xyz
'x,y,z'
'-x,-y,-z'
loop_
_atom_site_label
_atom_site_type_symbol
_atom_site_fract_x
_atom_site_fract_y
_atom_site_fract_z
_atom_site_occupancy
Rb1 Rb 0.000 0.000 0.000 1
Ba1 Ba 0.475 0.624 0.282 1
Mn1 Mn 0.000 0.000 0.500 1
Cl1 Cl 0.003 0.259 0.736 1
Cl2 Cl 0.243 0.271 0.392 1
Cl3 Cl 0.286 0.915 0.604 1
Cl4 Cl 0.416 0.728 0.977 1
```

Output
E_form (uncorrected) (eV per atom): -1.900

=====

No. 4
The following is a GGA-PBE calculation of crystalline Rb3BaMn2Cl9 at its relaxed geometry, from the Alexandria database.

Structure (CIF):
```
data_Rb3BaMn2Cl9
_space_group_name_H-M_alt 'P -3 m 1'
_space_group_IT_number 164
_space_group_name_Hall '-P 3 2"'
_cell_length_a 7.4195
_cell_length_b 7.4195
_cell_length_c 9.9500
_cell_angle_alpha 90.00
_cell_angle_beta 90.00
_cell_angle_gamma 120.00
loop_
_atom_site_label
_atom_site_type_symbol
_atom_site_fract_x
_atom_site_fract_y
_atom_site_fract_z
_atom_site_occupancy
Rb1 Rb 0.0000 0.0000 0.0000 1
Rb2 Rb 0.3333 0.6667 0.7383 1
Ba1 Ba 0.0000 0.0000 0.5000 1
Mn1 Mn 0.3333 0.6667 0.1546 1
Cl1 Cl 0.0000 0.5000 0.0000 1
Cl2 Cl 0.1737 0.3473 0.2951 1
```

Output
E_form (uncorrected) (eV per atom): -1.702

=====

No. 5
The following is a GGA-PBE calculation of crystalline BaMnS2Cl at its relaxed geometry, from the Alexandria database.

Structure (CIF):
```
data_BaMnS2Cl
_space_group_name_H-M_alt 'P 4/m m m'
_space_group_IT_number 123
_space_group_name_Hall '-P 4 2'
_cell_length_a 5.827
_cell_length_b 5.827
_cell_length_c 5.752
_cell_angle_alpha 90.00
_cell_angle_beta 90.00
_cell_angle_gamma 90.00
loop_
_atom_site_label
_atom_site_type_symbol
_atom_site_fract_x
_atom_site_fract_y
_atom_site_fract_z
_atom_site_occupancy
Ba1 Ba 0.000 0.000 0.000 1
Mn1 Mn 0.500 0.500 0.500 1
S1 S 0.000 0.500 0.000 1
Cl1 Cl 0.000 0.000 0.500 1
```

Output
E_form (uncorrected) (eV per atom): 0.127

=====

No. 6
The following is a GGA-PBE calculation of crystalline BaMnS2Cl at its relaxed geometry, from the Alexandria database.

Structure (CIF):
```
data_BaMnS2Cl
_space_group_name_H-M_alt 'P 4/m m m'
_space_group_IT_number 123
_space_group_name_Hall '-P 4 2'
_cell_length_a 4.778
_cell_length_b 4.778
_cell_length_c 5.066
_cell_angle_alpha 90.00
_cell_angle_beta 90.00
_cell_angle_gamma 90.00
loop_
_atom_site_label
_atom_site_type_symbol
_atom_site_fract_x
_atom_site_fract_y
_atom_site_fract_z
_atom_site_occupancy
Ba1 Ba 0.000 0.000 0.000 1
Mn1 Mn 0.500 0.500 0.500 1
S1 S 0.000 0.500 0.500 1
Cl1 Cl 0.500 0.500 0.000 1
```

Output
E_form (uncorrected) (eV per atom): -1.313

=====

No. 7
The following is a GGA-PBE calculation of crystalline BaMn2SnCl8 at its relaxed geometry, from the Alexandria database.

Structure (CIF):
```
data_BaMn2SnCl8
_space_group_name_H-M_alt 'P -3'
_space_group_IT_number 147
_cell_length_a 6.6109
_cell_length_b 6.6109
_cell_length_c 9.5661
_cell_angle_alpha 90.00
_cell_angle_beta 90.00
_cell_angle_gamma 120.00
loop_
_space_group_symop_operation_xyz
'x,y,z'
'-x,-y,-z'
'-y,x-y,z'
'y,-x+y,-z'
'-x+y,-x,z'
'x-y,x,-z'
loop_
_atom_site_label
_atom_site_type_symbol
_atom_site_fract_x
_atom_site_fract_y
_atom_site_fract_z
_atom_site_occupancy
Ba1 Ba 0.0000 0.0000 0.0000 1
Mn1 Mn 0.3333 0.6667 0.7635 1
Sn1 Sn 0.0000 0.0000 0.5000 1
Cl1 Cl 0.0007 0.6895 0.2939 1
Cl2 Cl 0.3333 0.6667 0.0052 1
```

Output
E_form (uncorrected) (eV per atom): -1.356

=====

No. 8
The following is a GGA-PBE calculation of crystalline BaMnSnCl6 at its relaxed geometry, from the Alexandria database.

Structure (CIF):
```
data_BaMnSnCl6
_space_group_name_H-M_alt 'P -3 1 c'
_space_group_IT_number 163
_space_group_name_Hall '-P 3 2c'
_cell_length_a 7.2065
_cell_length_b 7.2065
_cell_length_c 12.0360
_cell_angle_alpha 90.00
_cell_angle_beta 90.00
_cell_angle_gamma 120.00
loop_
_atom_site_label
_atom_site_type_symbol
_atom_site_fract_x
_atom_site_fract_y
_atom_site_fract_z
_atom_site_occupancy
Ba1 Ba 0.3333 0.6667 0.2500 1
Mn1 Mn 0.3333 0.6667 0.7500 1
Sn1 Sn 0.0000 0.0000 0.0000 1
Cl1 Cl 0.0576 0.3669 0.6262 1
```

Output
E_form (uncorrected) (eV per atom): -1.490

=====

No. 9
The following is a GGA-PBE calculation of crystalline BaMnSn2Cl8 at its relaxed geometry, from the Alexandria database.

Structure (CIF):
```
data_BaMnSn2Cl8
_space_group_name_H-M_alt 'P -1'
_space_group_IT_number 2
_cell_length_a 6.451
_cell_length_b 6.726
_cell_length_c 8.758
_cell_angle_alpha 91.26
_cell_angle_beta 90.21
_cell_angle_gamma 91.92
loop_
_space_group_symop_operation_xyz
'x,y,z'
'-x,-y,-z'
loop_
_atom_site_label
_atom_site_type_symbol
_atom_site_fract_x
_atom_site_fract_y
_atom_site_fract_z
_atom_site_occupancy
Ba1 Ba 0.000 0.000 0.000 1
Mn1 Mn 0.000 0.000 0.500 1
Sn1 Sn 0.488 0.518 0.271 1
Cl1 Cl 0.199 0.180 0.296 1
Cl2 Cl 0.242 0.136 0.713 1
Cl3 Cl 0.244 0.695 0.469 1
Cl4 Cl 0.279 0.642 0.030 1
```

Output
E_form (uncorrected) (eV per atom): -1.365

=====

No. 10
The following is a GGA-PBE calculation of crystalline BaSr2MnCl8 at its relaxed geometry, from the Alexandria database.

Structure (CIF):
```
data_BaSr2MnCl8
_space_group_name_H-M_alt 'P 1 2/m 1'
_space_group_IT_number 10
_cell_length_a 6.564
_cell_length_b 8.823
_cell_length_c 6.661
_cell_angle_alpha 90.00
_cell_angle_beta 90.63
_cell_angle_gamma 90.00
loop_
_space_group_symop_operation_xyz
'x,y,z'
'-x,-y,-z'
'-x,y,-z'
'x,-y,z'
loop_
_atom_site_label
_atom_site_type_symbol
_atom_site_fract_x
_atom_site_fract_y
_atom_site_fract_z
_atom_site_occupancy
Ba1 Ba 0.000 0.000 0.000 1
Sr1 Sr 0.500 0.267 0.500 1
Mn1 Mn 0.000 0.500 0.000 1
Cl1 Cl 0.213 0.290 0.162 1
Cl2 Cl 0.256 0.500 0.694 1
Cl3 Cl 0.280 0.000 0.640 1
```

Output
E_form (uncorrected) (eV per atom): -2.094

=====

No. 11
The following is a GGA-PBE calculation of crystalline BaSrMn2Cl8 at its relaxed geometry, from the Alexandria database.

Structure (CIF):
```
data_BaSrMn2Cl8
_space_group_name_H-M_alt 'P -3'
_space_group_IT_number 147
_cell_length_a 6.6917
_cell_length_b 6.6917
_cell_length_c 9.6351
_cell_angle_alpha 90.00
_cell_angle_beta 90.00
_cell_angle_gamma 120.00
loop_
_space_group_symop_operation_xyz
'x,y,z'
'-x,-y,-z'
'-y,x-y,z'
'y,-x+y,-z'
'-x+y,-x,z'
'x-y,x,-z'
loop_
_atom_site_label
_atom_site_type_symbol
_atom_site_fract_x
_atom_site_fract_y
_atom_site_fract_z
_atom_site_occupancy
Ba1 Ba 0.0000 0.0000 0.0000 1
Sr1 Sr 0.0000 0.0000 0.5000 1
Mn1 Mn 0.3333 0.6667 0.7699 1
Cl1 Cl 0.0070 0.3126 0.7099 1
Cl2 Cl 0.3333 0.6667 0.0089 1
```

Output
E_form (uncorrected) (eV per atom): -1.717

=====

No. 12
The following is a GGA-PBE calculation of crystalline BaMnTl2Cl8 at its relaxed geometry, from the Alexandria database.

Structure (CIF):
```
data_BaMnTl2Cl8
_space_group_name_H-M_alt 'P -1'
_space_group_IT_number 2
_cell_length_a 5.950
_cell_length_b 7.962
_cell_length_c 8.757
_cell_angle_alpha 89.81
_cell_angle_beta 89.87
_cell_angle_gamma 70.20
loop_
_space_group_symop_operation_xyz
'x,y,z'
'-x,-y,-z'
loop_
_atom_site_label
_atom_site_type_symbol
_atom_site_fract_x
_atom_site_fract_y
_atom_site_fract_z
_atom_site_occupancy
Ba1 Ba 0.000 0.000 0.000 1
Mn1 Mn 0.000 0.000 0.500 1
Tl1 Tl 0.495 0.498 0.262 1
Cl1 Cl 0.059 0.187 0.312 1
Cl2 Cl 0.063 0.185 0.687 1
Cl3 Cl 0.390 0.836 0.498 1
Cl4 Cl 0.476 0.254 0.998 1
```

Output
E_form (uncorrected) (eV per atom): -1.286

=====

Number 1: spin magnetization 10.51 μB/f.u.. Number 2: spin magnetization 5.00 μB/f.u.. Number 3: spin magnetization 3.99 μB/f.u.. Number 4: spin magnetization 10.00 μB/f.u.. Number 5: spin magnetization 4.82 μB/f.u.. Number 6: spin magnetization 4.23 μB/f.u.. Number 7: spin magnetization 10.00 μB/f.u.. Number 8: spin magnetization 5.00 μB/f.u.. Number 9: spin magnetization 5.00 μB/f.u.. Number 10: spin magnetization 5.00 μB/f.u.. Number 11: spin magnetization 10.00 μB/f.u.. Number 12: spin magnetization 2.97 μB/f.u..